Entry 1:
Compound: Tb2ErBi3
Source: the Open Quantum Materials Database
Functional: PBE-GGA
Structure: optimized geometry

a b c (Å): 4.4660 4.4660 10.9638
angles (deg): 90.00 90.00 120.00
With the nearest neighbours (Å) after each atom.
Sites, in units of the cell vectors:
Bi 0.0000 0.0000 0.0000  6 Tb 3.16
Bi 0.3333 0.6667 0.3351  3 Er 3.15, 3 Tb 3.17
Bi 0.6667 0.3333 0.6649  3 Er 3.15, 3 Tb 3.17
Er 0.0000 0.0000 0.5000  6 Bi 3.15
Tb 0.6667 0.3333 0.1671  6 Bi 3.16-3.17
Tb 0.3333 0.6667 0.8329  6 Bi 3.16-3.17

Output
Its raw total energy is -5.20 eV per atom. As for the symmetry: P-3m1.

***

Entry 2:
Compound: LaInPdPt
Source: the Open Quantum Materials Database
Functional: PBE-GGA
Structure: optimized geometry

a b c (Å): 4.6796 4.6796 9.4232
angles (deg): 90.00 90.00 120.00
With the nearest neighbours (Å) after each atom.
Sites, in units of the cell vectors:
In 0.0000 0.0000 0.0000  6 Pt 2.83
In 0.0000 0.0000 0.5000  6 Pd 2.80
La 0.6667 0.3333 0.2438  4 Pt 3.07-3.14, 4 Pd 3.14-3.19
La 0.3333 0.6667 0.7562  4 Pt 3.07-3.14, 4 Pd 3.14-3.19
Pd 0.3333 0.6667 0.4234  3 In 2.80, 3 Pd 3.06
Pd 0.6667 0.3333 0.5766  3 In 2.80, 3 Pd 3.06
Pt 0.3333 0.6667 0.0892  3 In 2.83, 4 La 3.07-3.14, 1 Pd 3.15
Pt 0.6667 0.3333 0.9108  3 In 2.83, 4 La 3.07-3.14, 1 Pd 3.15

Output
Its raw total energy is -5.60 eV per atom. As for the symmetry: P-3m1. The value obtained for the energy above the most stable polymorph in this dataset is 5 meV per atom.

***

Entry 3:
Compound: LuBiW2
Source: the Open Quantum Materials Database
Functional: PBE-GGA
Structure: optimized geometry

a b c (Å): 4.8542 4.8542 4.8542
angles (deg): 60.00 60.00 60.00
With the nearest neighbours (Å) after each atom.
Sites, in units of the cell vectors:
Bi 0.5000 0.5000 0.5000  4 Lu 2.97, 4 W 2.97
Lu 0.2500 0.2500 0.2500  4 Bi 2.97, 4 W 2.97
W 0.0000 0.0000 0.0000  4 W 2.97, 4 Lu 2.97
W 0.7500 0.7500 0.7500  4 Bi 2.97, 4 W 2.97

Output
Its raw total energy is -7.97 eV per atom. As for the symmetry: F-43m.

***

Entry 4:
Compound: HfScZn2Ga2
Source: the Open Quantum Materials Database
Functional: PBE-GGA
Structure: optimized geometry

a b c (Å): 4.3041 4.3041 6.4331
angles (deg): 90.00 90.00 120.00
With the nearest neighbours (Å) after each atom.
Sites, in units of the cell vectors:
Ga 0.6667 0.3333 0.2503  3 Zn 2.48-2.49
Ga 0.3333 0.6667 0.7497  3 Zn 2.48-2.49
Hf 0.0000 0.0000 0.5000  6 Zn 2.96, 6 Ga 2.96, 2 Sc 3.22
Sc 0.0000 0.0000 0.0000  6 Ga 2.96, 6 Zn 2.96, 2 Hf 3.22
Zn 0.3333 0.6667 0.2509  3 Ga 2.48-2.49
Zn 0.6667 0.3333 0.7491  3 Ga 2.48-2.49

Output
Its raw total energy is -4.59 eV per atom. As for the symmetry: P-3m1.

***

| no. | volume (Å³/cell) |
| --- | --- |
| 1 | 189.38 |
| 2 | 178.71 |
| 3 | 80.88 |
| 4 | 103.21 |